The following is a PBE calculation of crystalline RuPb2F at its relaxed geometry, from the Alexandria database.

```
RuPb2F
1.0
0.000 3.382 3.382
3.382 0.000 3.382
3.382 3.382 0.000
Pb Ru F
2 1 1
direct
0.750 0.750 0.750
0.250 0.250 0.250
0.500 0.500 0.500
0.000 0.000 0.000
```

E = -4.83 eV/atom
space-group type = Fm-3m, No. 225